[1]
## Li3HfS (PBE-GGA)

Data for crystalline Li3HfS at its relaxed geometry.

abc: 4.4862 4.4862 4.4862
angles: 90.00 90.00 90.00
Positions (direct):
1 S 0.0000 0.0000 0.0000
2 Hf 0.5000 0.5000 0.5000
3 Li 0.0000 0.5000 0.0000
4 Li 0.0000 0.0000 0.5000
5 Li 0.5000 0.0000 0.0000

D(E_F), states/eV/atom: 0.844
DFT total energy, eV per atom: -3.89
Formation energy from raw total energies, kJ/mol of formula units: 37.5
Size of the total moment, Bohr magnetons per cell: 0.0
ρ, g/cm³: 4.26



[2]
## LiHfS2 (PBE-GGA)

Data for crystalline LiHfS2 at its relaxed geometry.

abc: 5.7358 5.7358 6.7683
angles: 64.93 64.93 90.00
Positions (direct):
1 S 0.6219 0.1250 0.2500
2 S 0.1281 0.6250 0.2500
3 S 0.3750 0.3781 0.7500
4 S 0.8750 0.8719 0.7500
5 Hf 0.0000 0.0000 0.0000
6 Hf 0.7500 0.2500 0.5000
7 Li 0.5000 0.5000 0.0000
8 Li 0.2500 0.7500 0.5000

D(E_F), states/eV/atom: 0.743
DFT total energy, eV per atom: -6.22
Formation energy from raw total energies, kJ/mol of formula units: -457.5
Size of the total moment, Bohr magnetons per cell: 0.0
ρ, g/cm³: 4.65



[3]
## LiHf3S6 (PBE-GGA)

Data for crystalline LiHf3S6 at its relaxed geometry.

abc: 6.3794 6.3794 6.9521
angles: 62.69 62.69 60.00
Positions (direct):
1 Li 0.8501 0.8501 0.4497
2 Hf 0.3381 0.3381 0.9856
3 Hf 0.6617 0.6617 0.0150
4 Hf 0.1590 0.1590 0.5229
5 S 0.9230 0.5537 0.2555
6 S 0.2679 0.9230 0.2555
7 S 0.5537 0.2679 0.2555
8 S 0.0711 0.4286 0.7534
9 S 0.7469 0.0711 0.7534
10 S 0.4286 0.7469 0.7534

D(E_F), states/eV/atom: 0.472
DFT total energy, eV per atom: -7.13
Formation energy from raw total energies, kJ/mol of formula units: -1427.8
Size of the total moment, Bohr magnetons per cell: 0.0
ρ, g/cm³: 5.87



[4]
## LiHfS3 (PBE-GGA)

Data for crystalline LiHfS3 at its relaxed geometry.

abc: 4.9424 4.9424 4.9424
angles: 90.00 90.00 90.00
Positions (direct):
1 S 0.0000 0.5000 0.0000
2 S 0.0000 0.0000 0.5000
3 S 0.5000 0.0000 0.0000
4 Hf 0.0000 0.0000 0.0000
5 Li 0.5000 0.5000 0.5000

D(E_F), states/eV/atom: 0.488
DFT total energy, eV per atom: -5.80
Formation energy from raw total energies, kJ/mol of formula units: -456.7
Size of the total moment, Bohr magnetons per cell: 0.0
ρ, g/cm³: 3.87



[5]
## Li2HfScS (PBE-GGA)

Data for crystalline Li2HfScS at its relaxed geometry.

abc: 5.0128 4.7105 5.0128
angles: 90.00 90.00 90.00
Positions (direct):
1 Sc 0.5000 0.5000 0.5000
2 S 0.0000 0.5000 0.0000
3 Hf 0.0000 0.0000 0.0000
4 Li 0.0000 0.0000 0.5000
5 Li 0.5000 0.0000 0.0000

D(E_F), states/eV/atom: 1.312
DFT total energy, eV per atom: -4.41
Formation energy from raw total energies, kJ/mol of formula units: 209.9
Size of the total moment, Bohr magnetons per cell: 0.0
ρ, g/cm³: 3.78



[6]
## Li4HfSc3S8 (PBE-GGA)

Data for crystalline Li4HfSc3S8 at its relaxed geometry.

abc: 7.3330 7.4398 7.3328
angles: 119.53 120.00 90.00
Positions (direct):
1 Li 0.5000 0.0000 0.0000
2 Li 0.5000 0.0000 0.5000
3 Li 0.0000 0.0000 0.0000
4 Li 0.0000 0.0000 0.5000
5 Hf 0.0000 0.5000 0.0000
6 Sc 0.5000 0.5000 0.0000
7 Sc 0.5000 0.5000 0.5000
8 Sc 0.0000 0.5000 0.5000
9 S 0.2461 0.7434 0.9974
10 S 0.2461 0.7434 0.4921
11 S 0.2524 0.2573 0.5048
12 S 0.7513 0.7434 0.9974
13 S 0.2487 0.2566 0.0026
14 S 0.7476 0.7427 0.4952
15 S 0.7539 0.2566 0.5079
16 S 0.7539 0.2566 0.0026

D(E_F), states/eV/atom: 0.226
DFT total energy, eV per atom: -6.06
Formation energy from raw total energies, kJ/mol of formula units: -2636.1
Size of the total moment, Bohr magnetons per cell: 0.0
ρ, g/cm³: 3.48



Q: What is the formula in the fourth record?
A: LiHfS3